The following is a meta-GGA SCAN calculation of a crystal of MgCd2Hg relaxed with PBEsol, from Alexandria via LeMat-Bulk.

Geometry as CIF:
```
data_MgCd2Hg
_chemical_formula_sum 'Mg1 Cd2 Hg1'
_cell_length_a 3.550
_cell_length_b 3.550
_cell_length_c 6.665
_cell_angle_alpha 90.00
_cell_angle_beta 90.00
_cell_angle_gamma 90.00
_symmetry_space_group_name_H-M 'P 1'
_symmetry_Int_Tables_number 1
loop_
_symmetry_equiv_pos_as_xyz
'x,y,z'
loop_
_atom_site_label
_atom_site_type_symbol
_atom_site_fract_x
_atom_site_fract_y
_atom_site_fract_z
Cd1 Cd 0.000 0.000 0.998
Hg1 Hg 0.000 0.000 0.513
Cd2 Cd 0.500 0.500 0.248
Mg1 Mg 0.500 0.500 0.742
```

Computed properties:
As for the space group: P4mm, No. 99. The calculation puts the total moment at 0.0 μB/f.u. The calculation puts the energy above the most stable polymorph in this dataset at 18.7 meV/atom. For the formation energy, the calculation gives -108 meV per atom.